No. 1
NdBiIr: optimized geometry, GGA-PBE.

Cell and atoms, written as CIF:
```
data_NdBiIr
_chemical_formula_sum 'Nd4 Bi4 Ir4'
_cell_length_a 8.849
_cell_length_b 4.929
_cell_length_c 7.812
_cell_angle_alpha 90.00
_cell_angle_beta 108.16
_cell_angle_gamma 90.00
_symmetry_space_group_name_H-M 'C 1 2/m 1'
_symmetry_Int_Tables_number 12
loop_
_symmetry_equiv_pos_as_xyz
'x,y,z'
'-x,-y,-z'
'-x,y,-z'
'x,-y,z'
'x+1/2,y+1/2,z'
'-x+1/2,-y+1/2,-z'
'-x+1/2,y+1/2,-z'
'x+1/2,-y+1/2,z'
loop_
_atom_site_label
_atom_site_type_symbol
_atom_site_fract_x
_atom_site_fract_y
_atom_site_fract_z
Nd1 Nd 0.126 0.000 0.360
Bi1 Bi 0.103 0.500 0.848
Ir1 Ir 0.244 0.000 0.762
```

No. 2
SrTePbI2: optimized geometry, GGA-PBE.

Values from the calculation:
Formation energy (no corrections) in eV per atom: -0.61

Cell and atoms, written as CIF:
```
data_SrTePbI2
_chemical_formula_sum 'Sr1 Te1 Pb1 I2'
_cell_length_a 5.947
_cell_length_b 5.947
_cell_length_c 6.249
_cell_angle_alpha 90.00
_cell_angle_beta 90.00
_cell_angle_gamma 90.00
_symmetry_space_group_name_H-M 'P 4/m m m'
_symmetry_Int_Tables_number 123
_symmetry_space_group_name_Hall '-P 4 2'
loop_
_atom_site_label
_atom_site_type_symbol
_atom_site_fract_x
_atom_site_fract_y
_atom_site_fract_z
Sr1 Sr 0.000 0.000 0.000
Te1 Te 0.500 0.500 0.000
Pb1 Pb 0.500 0.500 0.500
I1 I 0.000 0.500 0.500
```

No. 3
La2ScFe: optimized geometry, GGA-PBE.

Cell and atoms, written as CIF:
```
data_La2ScFe
_chemical_formula_sum 'La8 Sc4 Fe4'
_cell_length_a 7.519
_cell_length_b 7.519
_cell_length_c 7.519
_cell_angle_alpha 90.00
_cell_angle_beta 90.00
_cell_angle_gamma 90.00
_symmetry_space_group_name_H-M 'F m -3 m'
_symmetry_Int_Tables_number 225
_symmetry_space_group_name_Hall '-F 4 2 3'
loop_
_atom_site_label
_atom_site_type_symbol
_atom_site_fract_x
_atom_site_fract_y
_atom_site_fract_z
La1 La 0.250 0.250 0.250
Sc1 Sc 0.000 0.000 0.000
Fe1 Fe 0.000 0.000 0.500
```

No. 4
La4NdSn3: optimized geometry, GGA-PBE.

Cell and atoms, written as CIF:
```
data_La4NdSn3
_chemical_formula_sum 'La16 Nd4 Sn12'
_cell_length_a 12.757
_cell_length_b 12.757
_cell_length_c 6.302
_cell_angle_alpha 90.00
_cell_angle_beta 90.00
_cell_angle_gamma 90.00
_symmetry_space_group_name_H-M 'I 4/m c m'
_symmetry_Int_Tables_number 140
_symmetry_space_group_name_Hall '-I 4 2c'
loop_
_atom_site_label
_atom_site_type_symbol
_atom_site_fract_x
_atom_site_fract_y
_atom_site_fract_z
La1 La 0.087 0.220 0.000
Nd1 Nd 0.000 0.500 0.250
Sn1 Sn 0.000 0.000 0.250
Sn2 Sn 0.158 0.342 0.500
```

No. 5
BeSnB2: optimized geometry, GGA-PBE.

Cell and atoms, written as CIF:
```
data_BeSnB2
_chemical_formula_sum 'Be2 Sn2 B4'
_cell_length_a 4.530
_cell_length_b 4.828
_cell_length_c 6.468
_cell_angle_alpha 93.37
_cell_angle_beta 90.42
_cell_angle_gamma 117.92
_symmetry_space_group_name_H-M 'P 1'
_symmetry_Int_Tables_number 1
loop_
_symmetry_equiv_pos_as_xyz
'x,y,z'
loop_
_atom_site_label
_atom_site_type_symbol
_atom_site_fract_x
_atom_site_fract_y
_atom_site_fract_z
Be1 Be 0.000 0.000 0.000
Be2 Be 0.485 0.935 0.997
Sn1 Sn 0.038 0.567 0.473
Sn2 Sn 0.726 0.939 0.625
B1 B 0.214 0.473 0.088
B2 B 0.433 0.279 0.073
B3 B 0.626 0.659 0.080
B4 B 0.852 0.469 0.091
```

No. 6
TaTlTcF2: optimized geometry, GGA-PBE.

Values from the calculation:
Formation energy (no corrections) in eV per atom: -0.89

Cell and atoms, written as CIF:
```
data_TaTlTcF2
_chemical_formula_sum 'Ta1 Tl1 Tc1 F2'
_cell_length_a 4.069
_cell_length_b 4.069
_cell_length_c 5.198
_cell_angle_alpha 90.00
_cell_angle_beta 90.00
_cell_angle_gamma 90.00
_symmetry_space_group_name_H-M 'P 4/m m m'
_symmetry_Int_Tables_number 123
_symmetry_space_group_name_Hall '-P 4 2'
loop_
_atom_site_label
_atom_site_type_symbol
_atom_site_fract_x
_atom_site_fract_y
_atom_site_fract_z
Ta1 Ta 0.000 0.000 0.000
Tl1 Tl 0.500 0.500 0.500
Tc1 Tc 0.000 0.000 0.500
F1 F 0.000 0.500 0.000
```

| no. | calculated total energy (eV/atom) | N(E_F) (states/eV/atom) |
| --- | --- | --- |
| 1 | -6.1913 | 0.649 |
| 2 | -2.9407 | 0.029 |
| 3 | -5.8265 | 1.451 |
| 4 | -5.2765 | 1.224 |
| 5 | -5.0175 | 0.120 |
| 6 | -6.5580 | 0.666 |